# 1
{"formula": "Li2Tl4In", "functional": "GGA-PBE", "state": "optimized geometry", "cell": [[4.353, -6.474, 0.000], [4.353, 6.474, 0.000], [-4.341, 0.000, 6.467]], "species": ["Li", "Li", "Li", "Li", "Tl", "Tl", "Tl", "Tl", "Tl", "Tl", "Tl", "Tl", "In", "In"], "fractional_positions": [[0.075, 0.925, 0.500], [0.425, 0.775, 0.201], [0.775, 0.425, 0.701], [0.925, 0.075, 0.000], [0.027, 0.536, 0.185], [0.148, 0.314, 0.842], [0.157, 0.823, 0.859], [0.314, 0.148, 0.342], [0.536, 0.027, 0.685], [0.693, 0.701, 0.516], [0.701, 0.693, 0.016], [0.823, 0.157, 0.359], [0.300, 0.549, 0.600], [0.549, 0.300, 0.100]], "volume_a3_per_atom": 26.04, "ef_ev_per_fu": -0.28}

=====

# 2
{"formula": "SmTh2Tc2", "functional": "GGA-PBE", "state": "optimized geometry", "cell": [[5.545, 0.000, 0.000], [0.000, 4.858, 0.000], [-2.582, 0.000, 9.412]], "species": ["Sm", "Sm", "Th", "Th", "Th", "Th", "Tc", "Tc", "Tc", "Tc"], "fractional_positions": [[0.028, 0.250, 0.237], [0.972, 0.750, 0.763], [0.275, 0.750, 0.513], [0.388, 0.750, 0.109], [0.612, 0.250, 0.891], [0.725, 0.250, 0.487], [0.128, 0.250, 0.932], [0.266, 0.250, 0.630], [0.734, 0.750, 0.370], [0.872, 0.750, 0.068]], "volume_a3_per_atom": 25.35, "ef_ev_per_fu": -0.06}

=====

# 3
{"formula": "SiTe3P", "functional": "GGA-PBE", "state": "optimized geometry", "cell": [[5.217, 0.000, 0.000], [0.000, 5.217, 0.000], [0.000, 0.000, 5.217]], "species": ["Si", "Te", "Te", "Te", "P"], "fractional_positions": [[0.000, 0.000, 0.000], [0.000, 0.500, 0.500], [0.500, 0.000, 0.500], [0.500, 0.500, 0.000], [0.500, 0.500, 0.500]], "volume_a3_per_atom": 28.40, "e_form_raw_kj_per_mol_atoms": 70.5, "e_above_lowest_polymorph_ev_per_fu": 0.000}